First-principles (PBE-GGA) data for La2Y12Ho5 after structural relaxation, as listed in the Alexandria database.

Volume: 622.1 Å³/cell
Space-group type: No. 2
Energy above the lowest structure with this stoichiometry: 0.000 eV/atom
Energy of formation from the pure elements: 0.05 eV per atom

Geometry as CIF:
```
data_La2Y12Ho5
_chemical_formula_sum 'La2 Y12 Ho5'
_cell_length_a 6.145
_cell_length_b 8.870
_cell_length_c 11.788
_cell_angle_alpha 91.02
_cell_angle_beta 102.74
_cell_angle_gamma 96.51
_symmetry_space_group_name_H-M 'P 1'
_symmetry_Int_Tables_number 1
loop_
_symmetry_equiv_pos_as_xyz
'x,y,z'
loop_
_atom_site_label
_atom_site_type_symbol
_atom_site_fract_x
_atom_site_fract_y
_atom_site_fract_z
La1 La 0.131 0.469 0.401
La2 La 0.869 0.531 0.599
Y1 Y 0.054 0.634 0.899
Y2 Y 0.128 0.092 0.307
Y3 Y 0.200 0.739 0.203
Y4 Y 0.243 0.217 0.633
Y5 Y 0.314 0.842 0.534
Y6 Y 0.370 0.316 0.945
Y7 Y 0.630 0.684 0.055
Y8 Y 0.686 0.158 0.466
Y9 Y 0.757 0.783 0.367
Y10 Y 0.800 0.261 0.797
Y11 Y 0.872 0.908 0.693
Y12 Y 0.946 0.366 0.101
Ho1 Ho 0.000 0.000 0.000
Ho2 Ho 0.432 0.949 0.846
Ho3 Ho 0.477 0.583 0.750
Ho4 Ho 0.523 0.417 0.250
Ho5 Ho 0.568 0.051 0.154
```